No. 1
TlCuS2 after structural relaxation. Source: OQMD, functional PBE.

abc: 6.805 7.035 7.975
angles: 90.09 90.00 90.00
Fractional coordinates of all 16 atoms:
Cu  0.333  0.420  0.119
Cu  0.833  0.580  0.381
Cu  0.167  0.420  0.619
Cu  0.667  0.580  0.881
S  0.225  0.112  0.113
S  0.676  0.454  0.150
S  0.176  0.546  0.350
S  0.725  0.888  0.387
S  0.275  0.112  0.613
S  0.824  0.454  0.650
S  0.324  0.546  0.850
S  0.775  0.888  0.887
Tl  0.829  0.126  0.146
Tl  0.329  0.874  0.354
Tl  0.671  0.126  0.646
Tl  0.171  0.874  0.854

Properties
- Final energy: -14.978 eV per formula unit
- Symmetry: P2_1/c, No. 14

---

No. 2
TlCuS2 after structural relaxation. Source: OQMD, functional PBE.

abc: 6.954 6.954 6.954
angles: 131.91 131.91 70.37
Fractional coordinates of all 8 atoms:
Cu  0.500  0.500  0.000
Cu  0.750  0.250  0.500
S  0.625  0.173  0.047
S  0.827  0.875  0.452
S  0.422  0.375  0.548
S  0.125  0.578  0.953
Tl  0.000  0.000  0.000
Tl  0.250  0.750  0.500

Properties
- Final energy: -15.246 eV per formula unit
- Symmetry: I-42d, No. 122

---

No. 3
TlCuWS3 after structural relaxation. Source: OQMD, functional PBE.

abc: 7.623 7.623 9.351
angles: 90.00 90.00 154.23
Each line ends with the local moment (μB).
Fractional coordinates of all 12 atoms:
Cu  0.457  0.543  0.250  0.01
Cu  0.543  0.457  0.750  0.01
S  0.382  0.618  0.040  0.00
S  0.062  0.938  0.250  0.00
S  0.382  0.618  0.460  0.00
S  0.618  0.382  0.540  0.00
S  0.938  0.062  0.750  0.00
S  0.618  0.382  0.960  0.00
Tl  0.742  0.258  0.250  0.00
Tl  0.258  0.742  0.750  0.00
W  0.000  0.000  0.000  0.05
W  0.000  0.000  0.500  0.05

Properties
- Final energy: -33.151 eV per formula unit
- Symmetry: Cmcm, No. 63
- Magnetization: 0.07 μB per formula unit

---

No. 4
Tm2CuS4 after structural relaxation. Source: OQMD, functional PBE.

abc: 7.628 7.628 7.628
angles: 60.00 60.00 60.00
Fractional coordinates of all 14 atoms:
Cu  0.000  0.000  0.000
Cu  0.250  0.250  0.250
S  0.376  0.376  0.376
S  0.873  0.376  0.376
S  0.376  0.873  0.376
S  0.874  0.874  0.377
S  0.376  0.376  0.873
S  0.874  0.377  0.874
S  0.874  0.874  0.874
S  0.377  0.874  0.874
Tm  0.625  0.625  0.125
Tm  0.625  0.125  0.625
Tm  0.125  0.625  0.625
Tm  0.625  0.625  0.625

Properties
- Final energy: -39.242 eV per formula unit
- Symmetry: Fd-3m, No. 227
- Magnetization: 0.00 μB per formula unit

---

No. 5
U3Cu2S7 after structural relaxation. Source: OQMD, functional PBE.

abc: 9.662 9.660 5.673
angles: 90.00 90.00 120.01
Each line ends with the local moment (μB).
Fractional coordinates of all 24 atoms:
Cu  0.000  0.000  0.000  -0.03
Cu  0.667  0.333  0.149  -0.06
Cu  0.000  0.000  0.500  -0.03
Cu  0.333  0.667  0.649  -0.06
S  0.262  0.154  0.015  -0.07
S  0.892  0.738  0.015  -0.07
S  0.846  0.108  0.015  -0.07
S  0.333  0.667  0.251  -0.07
S  0.921  0.433  0.282  -0.09
S  0.512  0.079  0.282  -0.09
S  0.567  0.488  0.282  -0.09
S  0.738  0.846  0.515  -0.07
S  0.108  0.262  0.515  -0.07
S  0.154  0.892  0.515  -0.07
S  0.667  0.333  0.751  -0.07
S  0.079  0.567  0.782  -0.09
S  0.488  0.921  0.782  -0.09
S  0.433  0.512  0.782  -0.09
U  0.229  0.849  0.031  2.07
U  0.621  0.771  0.031  2.08
U  0.151  0.379  0.031  2.10
U  0.771  0.151  0.531  2.09
U  0.379  0.229  0.531  2.08
U  0.849  0.621  0.531  2.06

Properties
- Final energy: -83.695 eV per formula unit
- Symmetry: P6_3, No. 173
- Magnetization: 6.00 μB per formula unit

---

No. 6
U6Cu2S13 after structural relaxation. Source: OQMD, functional PBE.

abc: 8.020 8.020 14.184
angles: 98.71 98.71 100.22
Each line ends with the local moment (μB).
Fractional coordinates of all 42 atoms:
Cu  0.614  0.326  0.130  -0.04
Cu  0.674  0.386  0.370  -0.04
Cu  0.326  0.614  0.630  -0.04
Cu  0.386  0.674  0.870  -0.04
S  0.061  0.711  0.025  -0.09
S  0.353  0.312  0.047  -0.07
S  0.671  0.065  0.086  -0.09
S  0.488  0.722  0.165  -0.08
S  0.069  0.144  0.167  -0.09
S  0.847  0.514  0.203  -0.07
S  0.172  0.828  0.250  -0.10
S  0.486  0.153  0.297  -0.07
S  0.856  0.931  0.333  -0.09
S  0.278  0.512  0.335  -0.09
S  0.935  0.329  0.414  -0.09
S  0.688  0.647  0.453  -0.07
S  0.289  0.939  0.475  -0.09
S  0.711  0.061  0.525  -0.09
S  0.312  0.353  0.547  -0.07
S  0.065  0.671  0.586  -0.09
S  0.722  0.488  0.665  -0.09
S  0.144  0.069  0.667  -0.09
S  0.514  0.847  0.703  -0.07
S  0.828  0.172  0.750  -0.10
S  0.153  0.486  0.797  -0.07
S  0.931  0.856  0.833  -0.09
S  0.512  0.278  0.835  -0.08
S  0.329  0.935  0.914  -0.09
S  0.647  0.688  0.953  -0.07
S  0.939  0.289  0.975  -0.09
U  0.332  0.986  0.110  2.05
U  0.836  0.823  0.142  2.04
U  0.158  0.491  0.143  2.05
U  0.509  0.842  0.357  2.06
U  0.177  0.164  0.358  2.04
U  0.014  0.668  0.390  2.04
U  0.986  0.332  0.610  2.04
U  0.823  0.836  0.642  2.04
U  0.491  0.158  0.643  2.06
U  0.842  0.509  0.857  2.05
U  0.164  0.177  0.858  2.04
U  0.668  0.014  0.890  2.05

Properties
- Final energy: -154.908 eV per formula unit
- Symmetry: C2/c, No. 15
- Magnetization: 12.00 μB per formula unit

---

- Which of these has the lowest final energy?
  U6Cu2S13

---

- What is the formula in the second record?
  TlCuS2

---

Please write out number 3 again, unchanged.
TlCuWS3 after structural relaxation. Source: OQMD, functional PBE.

abc: 7.623 7.623 9.351
angles: 90.00 90.00 154.23
Each line ends with the local moment (μB).
Fractional coordinates of all 12 atoms:
Cu  0.457  0.543  0.250  0.01
Cu  0.543  0.457  0.750  0.01
S  0.382  0.618  0.040  0.00
S  0.062  0.938  0.250  0.00
S  0.382  0.618  0.460  0.00
S  0.618  0.382  0.540  0.00
S  0.938  0.062  0.750  0.00
S  0.618  0.382  0.960  0.00
Tl  0.742  0.258  0.250  0.00
Tl  0.258  0.742  0.750  0.00
W  0.000  0.000  0.000  0.05
W  0.000  0.000  0.500  0.05

Properties
- Final energy: -33.151 eV per formula unit
- Symmetry: Cmcm, No. 63
- Magnetization: 0.07 μB per formula unit